1.
SiNiRh2 | GGA-PBE | relaxed

## Properties
ΔE_f (raw): -148.3 kJ/mol of formula units
Total DFT energy (no corrections): -6.861 eV per atom
Magnetization: 1.60 Bohr magnetons per cell
Symmetry: Amm2, No. 38
Calculated density: 9.43 Mg/m³
DOS at the Fermi energy: 9.68 states/eV/cell

abc: 3.8510 2.7846 9.6136
angles: 90.00 90.00 90.00
Atoms (fractional coordinates):
Si 0.0000 0.0000 0.0000
Si 0.0000 0.5000 0.5000
Ni 0.5000 0.0000 0.1390
Ni 0.5000 0.5000 0.6390
Rh 0.0000 0.0000 0.7380
Rh 0.0000 0.5000 0.2380
Rh 0.5000 0.0000 0.4071
Rh 0.5000 0.5000 0.9071

***

2.
Tb2Ga4Ni3Ir | GGA-PBE | relaxed

## Properties
Total DFT energy (no corrections): -5.379 eV per atom
Magnetization: 0.00 Bohr magnetons per cell
Symmetry: P-4m2, No. 115
Calculated density: 9.51 Mg/m³
DOS at the Fermi energy: 7.43 states/eV/cell

abc: 4.0961 4.0961 10.0454
angles: 90.00 90.00 90.00
Atoms (fractional coordinates):
Tb 0.0000 0.5000 0.2491
Tb 0.5000 0.0000 0.7509
Ga 0.0000 0.0000 0.0000
Ga 0.0000 0.5000 0.6370
Ga 0.5000 0.0000 0.3630
Ga 0.5000 0.5000 0.0000
Ni 0.0000 0.5000 0.8711
Ni 0.5000 0.0000 0.1289
Ni 0.5000 0.5000 0.5000
Ir 0.0000 0.0000 0.5000

***

3.
SmDy8Tl6 | GGA-PBE | relaxed

## Properties
Total DFT energy (no corrections): -3.850 eV per atom
Magnetization: 0.00 Bohr magnetons per cell
Symmetry: R-3, No. 148
Calculated density: 9.47 Mg/m³
DOS at the Fermi energy: 20.26 states/eV/cell

abc: 8.3724 8.3724 8.3724
angles: 66.05 66.05 66.05
Atoms (fractional coordinates):
Sm 0.0000 0.0000 0.0000
Dy 0.1102 0.7770 0.4416
Dy 0.2230 0.5584 0.8898
Dy 0.3329 0.3329 0.3329
Dy 0.4416 0.1102 0.7770
Dy 0.5584 0.8898 0.2230
Dy 0.6671 0.6671 0.6671
Dy 0.7770 0.4416 0.1102
Dy 0.8898 0.2230 0.5584
Tl 0.0640 0.4008 0.7270
Tl 0.2730 0.9360 0.5992
Tl 0.4008 0.7270 0.0640
Tl 0.5992 0.2730 0.9360
Tl 0.7270 0.0640 0.4008
Tl 0.9360 0.5992 0.2730

***

4.
Ho6ScTl2 | GGA-PBE | relaxed

## Properties
Excess energy over the best structure of this formula in the dataset: 0.487 eV/atom
Total DFT energy (no corrections): -3.938 eV per atom
Magnetization: 0.01 Bohr magnetons per cell
Symmetry: R3, No. 146
Calculated density: 7.69 Mg/m³
DOS at the Fermi energy: 12.75 states/eV/cell

abc: 8.8743 8.8743 8.8743
angles: 44.45 44.45 44.45
Atoms (fractional coordinates):
Ho 0.9998 0.5106 0.4896
Ho 0.2760 0.2944 0.7872
Ho 0.2944 0.7872 0.2760
Ho 0.4896 0.9998 0.5106
Ho 0.5106 0.4896 0.9998
Ho 0.7872 0.2760 0.2944
Sc 0.2246 0.2246 0.2246
Tl 0.0067 0.0067 0.0067
Tl 0.7814 0.7814 0.7814

***

5.
NaScCuS2 | GGA-PBE | relaxed

## Properties
ΔE_f (raw): -489.9 kJ/mol of formula units
Total DFT energy (no corrections): -5.016 eV per atom
Magnetization: 0.00 Bohr magnetons per cell
Symmetry: P2/c, No. 13
Calculated density: 3.09 Mg/m³
DOS at the Fermi energy: 4.72 states/eV/cell

abc: 6.6172 4.5387 7.0939
angles: 90.00 99.74 90.00
Atoms (fractional coordinates):
Na 0.0000 0.1567 0.2500
Na 0.0000 0.8433 0.7500
Sc 0.5000 0.4939 0.7500
Sc 0.5000 0.5061 0.2500
Cu 0.5000 0.0000 0.0000
Cu 0.5000 0.0000 0.5000
S 0.2468 0.3205 0.9626
S 0.2468 0.6795 0.4626
S 0.7532 0.3205 0.5374
S 0.7532 0.6795 0.0374

***

6.
AlIr2Cl | GGA-PBE | relaxed

## Properties
Excess energy over the best structure of this formula in the dataset: 0.204 eV/atom
ΔE_f (raw): 58.6 kJ/mol of formula units
Total DFT energy (no corrections): -5.676 eV per atom
Magnetization: 0.00 Bohr magnetons per cell
Symmetry: Amm2, No. 38
Calculated density: 11.86 Mg/m³
DOS at the Fermi energy: 5.24 states/eV/cell

abc: 4.2436 2.8386 10.3863
angles: 90.00 90.00 90.00
Atoms (fractional coordinates):
Al 0.0000 0.0000 0.0000
Al 0.0000 0.5000 0.5000
Ir 0.5000 0.0000 0.2608
Ir 0.5000 0.0000 0.5325
Ir 0.5000 0.5000 0.0325
Ir 0.5000 0.5000 0.7608
Cl 0.0000 0.0000 0.7736
Cl 0.0000 0.5000 0.2736

***

7.
TaGaNi5 | GGA-PBE | relaxed

## Properties
Excess energy over the best structure of this formula in the dataset: 0.165 eV/atom
Total DFT energy (no corrections): -6.318 eV per atom
Magnetization: 0.00 Bohr magnetons per cell
Symmetry: P4/mmm, No. 123
Calculated density: 9.91 Mg/m³
DOS at the Fermi energy: 6.77 states/eV/cell

abc: 3.5102 3.5102 7.4026
angles: 90.00 90.00 90.00
Atoms (fractional coordinates):
Ta 0.0000 0.0000 0.0000
Ga 0.5000 0.5000 0.5000
Ni 0.0000 0.0000 0.5000
Ni 0.0000 0.5000 0.2465
Ni 0.0000 0.5000 0.7535
Ni 0.5000 0.0000 0.2465
Ni 0.5000 0.0000 0.7535

***

8.
Hf2HgP | GGA-PBE | relaxed

## Properties
Excess energy over the best structure of this formula in the dataset: 0.000 eV/atom
Total DFT energy (no corrections): -7.089 eV per atom
Magnetization: 0.00 Bohr magnetons per cell
Symmetry: R-3m, No. 166
Calculated density: 11.96 Mg/m³
DOS at the Fermi energy: 8.53 states/eV/cell

abc: 3.5755 3.5755 22.1496
angles: 90.00 90.00 120.00
Atoms (fractional coordinates):
Hf 0.0000 0.0000 0.2329
Hf 0.0000 0.0000 0.7671
Hf 0.3333 0.6667 0.4338
Hf 0.3333 0.6667 0.8996
Hf 0.6667 0.3333 0.1004
Hf 0.6667 0.3333 0.5662
Hg 0.0000 0.0000 0.0000
Hg 0.3333 0.6667 0.6667
Hg 0.6667 0.3333 0.3333
P 0.0000 0.0000 0.5000
P 0.3333 0.6667 0.1667
P 0.6667 0.3333 0.8333

***

9.
AcGeAu2 | GGA-PBE | relaxed

## Properties
Total DFT energy (no corrections): -4.228 eV per atom
Magnetization: 0.00 Bohr magnetons per cell
Symmetry: P4/mmm, No. 123
Calculated density: 11.68 Mg/m³
DOS at the Fermi energy: 2.92 states/eV/cell

abc: 4.7457 4.7457 4.3767
angles: 90.00 90.00 90.00
Atoms (fractional coordinates):
Ac 0.0000 0.0000 0.0000
Ge 0.5000 0.5000 0.0000
Au 0.0000 0.5000 0.5000
Au 0.5000 0.0000 0.5000

***

10.
HoPuBiAu | GGA-PBE | relaxed

## Properties
Total DFT energy (no corrections): -7.023 eV per atom
Magnetization: 27.87 Bohr magnetons per cell
Symmetry: F-43m, No. 216
Calculated density: 12.85 Mg/m³
DOS at the Fermi energy: 44.43 states/eV/cell

abc: 7.4967 7.4967 7.4967
angles: 90.00 90.00 90.00
Atoms (fractional coordinates):
Ho 0.0000 0.0000 0.0000
Ho 0.0000 0.5000 0.5000
Ho 0.5000 0.0000 0.5000
Ho 0.5000 0.5000 0.0000
Pu 0.0000 0.0000 0.5000
Pu 0.0000 0.5000 0.0000
Pu 0.5000 0.0000 0.0000
Pu 0.5000 0.5000 0.5000
Bi 0.2500 0.2500 0.7500
Bi 0.2500 0.7500 0.2500
Bi 0.7500 0.2500 0.2500
Bi 0.7500 0.7500 0.7500
Au 0.2500 0.2500 0.2500
Au 0.2500 0.7500 0.7500
Au 0.7500 0.2500 0.7500
Au 0.7500 0.7500 0.2500

***

11.
LaCe2Sn2Hg2 | GGA-PBE | relaxed

## Properties
Total DFT energy (no corrections): -3.976 eV per atom
Magnetization: 2.90 Bohr magnetons per cell
Symmetry: R-3m, No. 166
Calculated density: 8.97 Mg/m³
DOS at the Fermi energy: 13.20 states/eV/cell

abc: 9.9552 9.9552 9.9552
angles: 28.28 28.28 28.28
Atoms (fractional coordinates):
La 0.0000 0.0000 0.0000
Ce 0.1443 0.1443 0.1443
Ce 0.8557 0.8557 0.8557
Sn 0.2694 0.2694 0.2694
Sn 0.7306 0.7306 0.7306
Hg 0.4295 0.4295 0.4295
Hg 0.5705 0.5705 0.5705

***

12.
K3La3NpO8 | GGA-PBE | relaxed

## Properties
ΔE_f (raw): -3956.9 kJ/mol of formula units
Total DFT energy (no corrections): -7.446 eV per atom
Magnetization: 3.00 Bohr magnetons per cell
Symmetry: R-3m, No. 166
Calculated density: 5.02 Mg/m³
DOS at the Fermi energy: 11.20 states/eV/cell

abc: 7.6194 7.6194 7.6194
angles: 57.81 57.81 57.81
Atoms (fractional coordinates):
K 0.0000 0.5000 0.5000
K 0.5000 0.0000 0.5000
K 0.5000 0.5000 0.0000
La 0.0000 0.0000 0.5000
La 0.0000 0.5000 0.0000
La 0.5000 0.0000 0.0000
Np 0.5000 0.5000 0.5000
O 0.2289 0.2289 0.2289
O 0.2506 0.7127 0.7127
O 0.2873 0.2873 0.7494
O 0.2873 0.7494 0.2873
O 0.7127 0.2506 0.7127
O 0.7127 0.7127 0.2506
O 0.7494 0.2873 0.2873
O 0.7711 0.7711 0.7711